Al2HgCl: optimized geometry, PBE.

N(E_F)	1.302	states/eV/cell
symmetry	P4/mmm, No. 123
formation energy from raw total energies	0.014	eV per atom

abc: 5.168 5.168 3.198
angles: 90.00 90.00 90.00
Atoms (fractional coordinates):
1 Al 0.000 0.500 0.000
2 Al 0.500 0.000 0.000
3 Hg 0.000 0.000 0.500
4 Cl 0.500 0.500 0.500